Entry 1:
A geometry-optimized La2TiFe structure. Source: Alexandria via LeMat-Bulk, functional PBE.

POSCAR file:
```
La2TiFe
1.0
7.225 0.000 0.000
0.000 7.225 0.000
0.000 0.000 7.225
La Ti Fe
8 4 4
Direct
0.250 0.250 0.250 La
0.250 0.250 0.750 La
0.250 0.750 0.250 La
0.250 0.750 0.750 La
0.750 0.250 0.250 La
0.750 0.250 0.750 La
0.750 0.750 0.250 La
0.750 0.750 0.750 La
0.000 0.000 0.000 Ti
0.000 0.500 0.500 Ti
0.500 0.000 0.500 Ti
0.500 0.500 0.000 Ti
0.000 0.000 0.500 Fe
0.000 0.500 0.000 Fe
0.500 0.000 0.000 Fe
0.500 0.500 0.500 Fe
```

Properties
Magnetization (μB/atom): 0.48

Entry 2:
A geometry-optimized LaTi2Fe2 structure. Source: Alexandria via LeMat-Bulk, functional PBE.

POSCAR file:
```
LaTi2Fe2
1.0
4.271 0.000 0.000
0.000 4.271 0.000
0.000 0.000 10.221
La Ti Fe
2 4 4
Direct
0.000 0.000 0.000 La
0.500 0.500 0.500 La
0.000 0.000 0.349 Ti
0.000 0.000 0.651 Ti
0.500 0.500 0.151 Ti
0.500 0.500 0.849 Ti
0.000 0.500 0.250 Fe
0.000 0.500 0.750 Fe
0.500 0.000 0.250 Fe
0.500 0.000 0.750 Fe
```

Properties
Magnetization (μB/atom): 0.23

Entry 3:
A geometry-optimized La2TiFe structure. Source: Alexandria via LeMat-Bulk, functional PBE.

POSCAR file:
```
La2TiFe
1.0
8.191 0.000 0.000
0.000 8.191 0.000
0.000 0.000 5.874
La Ti Fe
8 4 4
Direct
0.180 0.750 0.125 La
0.250 0.180 0.875 La
0.250 0.320 0.375 La
0.320 0.750 0.625 La
0.680 0.250 0.625 La
0.750 0.680 0.375 La
0.750 0.820 0.875 La
0.820 0.250 0.125 La
0.000 0.000 0.500 Ti
0.000 0.500 0.750 Ti
0.500 0.000 0.250 Ti
0.500 0.500 0.000 Ti
0.000 0.000 0.000 Fe
0.000 0.500 0.250 Fe
0.500 0.000 0.750 Fe
0.500 0.500 0.500 Fe
```

Properties
Magnetization (μB/atom): 0.33

In order of appearance, D(E_F) = 1.99; 0.81; 1.47 states/eV per atom.
In order of appearance, calculated formation energy = 2.028; 0.615; 2.255 eV per formula unit.